1.
Ac4CdN | PBE | optimized geometry

```
data_Ac4CdN
_cell_length_a 9.995
_cell_length_b 7.670
_cell_length_c 5.800
_cell_angle_alpha 90.00
_cell_angle_beta 90.00
_cell_angle_gamma 90.00
_symmetry_space_group_name_H-M 'P m n 21'
_symmetry_Int_Tables_number 31
_symmetry_space_group_name_Hall 'P 2ac -2'
loop_
_atom_site_label
_atom_site_fract_x
_atom_site_fract_y
_atom_site_fract_z
Ac1 0.000 0.094 0.000
Ac2 0.000 0.794 0.506
Ac3 0.199 0.287 0.509
Cd1 0.000 0.516 0.009
N1 0.000 0.109 0.553
```

Values from the calculation:
N(E_F)	11.7	states/eV per cell
energy relative to the elements, uncorrected	-0.41	eV per atom

---

2.
Ac4CdN2 | PBE | optimized geometry

```
data_Ac4CdN2
_cell_length_a 10.740
_cell_length_b 10.740
_cell_length_c 8.000
_cell_angle_alpha 90.00
_cell_angle_beta 90.00
_cell_angle_gamma 90.00
_symmetry_space_group_name_H-M 'I -4 2 d'
_symmetry_Int_Tables_number 122
_symmetry_space_group_name_Hall 'I -4 2bw'
loop_
_atom_site_label
_atom_site_fract_x
_atom_site_fract_y
_atom_site_fract_z
Ac1 0.058 0.706 0.377
Cd1 0.000 0.000 0.500
N1 0.073 0.250 0.125
```

Values from the calculation:
N(E_F)	15.2	states/eV per cell
energy relative to the elements, uncorrected	-0.62	eV per atom

---

3.
Ac4Cd2N | PBE | optimized geometry

```
data_Ac4Cd2N
_cell_length_a 7.081
_cell_length_b 7.585
_cell_length_c 9.807
_cell_angle_alpha 90.00
_cell_angle_beta 109.00
_cell_angle_gamma 90.00
_symmetry_space_group_name_H-M 'P 1 21/m 1'
_symmetry_Int_Tables_number 11
_symmetry_space_group_name_Hall '-P 2yb'
loop_
_atom_site_label
_atom_site_fract_x
_atom_site_fract_y
_atom_site_fract_z
Ac1 0.019 0.003 0.280
Ac2 0.376 0.750 0.052
Ac3 0.432 0.750 0.649
Cd1 0.178 0.250 0.026
Cd2 0.302 0.250 0.593
N1 0.211 0.750 0.794
```

Values from the calculation:
N(E_F)	14.9	states/eV per cell
energy relative to the elements, uncorrected	-0.44	eV per atom
ΔE to the lowest computed polymorph	0.0000	eV/atom

---

4.
Ac4Cd2N | PBE | optimized geometry

```
data_Ac4Cd2N
_cell_length_a 9.417
_cell_length_b 7.713
_cell_length_c 13.916
_cell_angle_alpha 90.00
_cell_angle_beta 90.00
_cell_angle_gamma 90.00
_symmetry_space_group_name_H-M 'P n m a'
_symmetry_Int_Tables_number 62
_symmetry_space_group_name_Hall '-P 2ac 2n'
loop_
_atom_site_label
_atom_site_fract_x
_atom_site_fract_y
_atom_site_fract_z
Ac1 0.051 0.250 0.063
Ac2 0.150 0.250 0.561
Ac3 0.215 0.010 0.316
Cd1 0.006 0.750 0.174
Cd2 0.100 0.750 0.631
N1 0.202 0.750 0.919
```

Values from the calculation:
N(E_F)	35.5	states/eV per cell
energy relative to the elements, uncorrected	-0.42	eV per atom
ΔE to the lowest computed polymorph	0.0233	eV/atom

---

5.
Ac3CdN | PBE | optimized geometry

```
data_Ac3CdN
_cell_length_a 5.368
_cell_length_b 5.368
_cell_length_c 5.368
_cell_angle_alpha 90.00
_cell_angle_beta 90.00
_cell_angle_gamma 90.00
_symmetry_space_group_name_H-M 'P m -3 m'
_symmetry_Int_Tables_number 221
_symmetry_space_group_name_Hall '-P 4 2 3'
loop_
_atom_site_label
_atom_site_fract_x
_atom_site_fract_y
_atom_site_fract_z
Ac1 0.000 0.000 0.500
Cd1 0.500 0.500 0.500
N1 0.000 0.000 0.000
```

Values from the calculation:
N(E_F)	5.2	states/eV per cell
energy relative to the elements, uncorrected	-0.56	eV per atom

---

6.
Ac4Cd2N | PBE | optimized geometry

```
data_Ac4Cd2N
_cell_length_a 5.399
_cell_length_b 5.399
_cell_length_c 16.188
_cell_angle_alpha 90.00
_cell_angle_beta 90.00
_cell_angle_gamma 90.00
_symmetry_space_group_name_H-M 'I 4/m m m'
_symmetry_Int_Tables_number 139
_symmetry_space_group_name_Hall '-I 4 2'
loop_
_atom_site_label
_atom_site_fract_x
_atom_site_fract_y
_atom_site_fract_z
Ac1 0.000 0.000 0.166
Ac2 0.000 0.500 0.000
Cd1 0.000 0.000 0.371
N1 0.000 0.000 0.000
```

Values from the calculation:
N(E_F)	7.6	states/eV per cell
energy relative to the elements, uncorrected	-0.43	eV per atom
ΔE to the lowest computed polymorph	0.0110	eV/atom

---

7.
Ac6Cd2N | PBE | optimized geometry

```
data_Ac6Cd2N
_cell_length_a 7.212
_cell_length_b 7.777
_cell_length_c 13.465
_cell_angle_alpha 90.00
_cell_angle_beta 122.10
_cell_angle_gamma 90.00
_symmetry_space_group_name_H-M 'P 1 21/c 1'
_symmetry_Int_Tables_number 14
_symmetry_space_group_name_Hall '-P 2ybc'
loop_
_atom_site_label
_atom_site_fract_x
_atom_site_fract_y
_atom_site_fract_z
Ac1 0.138 0.008 0.237
Ac2 0.211 0.704 0.035
Ac3 0.347 0.180 0.037
Cd1 0.313 0.086 0.747
N1 0.000 0.000 0.000
```

Values from the calculation:
N(E_F)	17.5	states/eV per cell
energy relative to the elements, uncorrected	-0.32	eV per atom

---

8.
Ac12Cd3N5 | PBE | optimized geometry

```
data_Ac12Cd3N5
_cell_length_a 17.292
_cell_length_b 17.292
_cell_length_c 17.292
_cell_angle_alpha 90.00
_cell_angle_beta 90.00
_cell_angle_gamma 90.00
_symmetry_space_group_name_H-M 'I a -3 d'
_symmetry_Int_Tables_number 230
_symmetry_space_group_name_Hall '-I 4bd 2c 3'
loop_
_atom_site_label
_atom_site_fract_x
_atom_site_fract_y
_atom_site_fract_z
Ac1 0.039 0.049 0.648
Cd1 0.000 0.250 0.125
N1 0.000 0.000 0.000
N2 0.000 0.250 0.375
```

Values from the calculation:
N(E_F)	141.1	states/eV per cell
energy relative to the elements, uncorrected	-0.57	eV per atom

---

What is the formula in the fourth record? Ac4Cd2N